A plane-wave DFT calculation with PBE was carried out for NbSb2TeRh after structural relaxation.

Unit cell a=5.299 b=5.299 c=5.274 alpha=90.00 beta=90.00 gamma=90.00
Element x y z (fractional)
Nb: 0.000 0.000 0.000
Sb: 0.000 0.500 0.000
Sb: 0.500 0.000 0.000
Te: 0.000 0.000 0.500
Rh: 0.500 0.500 0.500

**Relative energy among the computed polymorphs**: 0.132 eV/atom
**Uncorrected formation energy**: 0.85 eV/atom

***

A plane-wave DFT calculation with PBE was carried out for TiNb2SbRh after structural relaxation.

Unit cell a=4.862 b=4.862 c=4.834 alpha=90.00 beta=90.00 gamma=90.00
Element x y z (fractional)
Ti: 0.000 0.000 0.000
Nb: 0.000 0.500 0.500
Nb: 0.500 0.000 0.500
Sb: 0.500 0.500 0.000
Rh: 0.500 0.500 0.500

**Uncorrected formation energy**: 0.87 eV/atom

***

A plane-wave DFT calculation with PBE was carried out for NbSb2RhW after structural relaxation.

Unit cell a=5.227 b=5.227 c=4.747 alpha=90.00 beta=90.00 gamma=90.00
Element x y z (fractional)
Nb: 0.000 0.000 0.000
Sb: 0.000 0.500 0.000
Sb: 0.500 0.000 0.000
Rh: 0.500 0.500 0.500
W: 0.000 0.000 0.500

**Uncorrected formation energy**: 1.57 eV/atom

***

A plane-wave DFT calculation with PBE was carried out for Nb2ZnSbRh after structural relaxation.

Unit cell a=4.864 b=4.864 c=4.650 alpha=90.00 beta=90.00 gamma=90.00
Element x y z (fractional)
Nb: 0.000 0.500 0.000
Nb: 0.500 0.000 0.000
Zn: 0.000 0.000 0.500
Sb: 0.500 0.500 0.500
Rh: 0.000 0.000 0.000

**Uncorrected formation energy**: 0.56 eV/atom

***

A plane-wave DFT calculation with PBE was carried out for Sc2NbRh5 after structural relaxation.

Unit cell a=5.567 b=10.672 c=4.305 alpha=90.00 beta=90.00 gamma=90.00
Element x y z (fractional)
Sc: 0.151 0.144 0.000
Sc: 0.349 0.644 0.000
Sc: 0.651 0.356 0.000
Sc: 0.849 0.856 0.000
Nb: 0.000 0.500 0.500
Nb: 0.500 0.000 0.500
Rh: 0.000 0.000 0.500
Rh: 0.109 0.737 0.500
Rh: 0.174 0.394 0.000
Rh: 0.326 0.894 0.000
Rh: 0.391 0.237 0.500
Rh: 0.500 0.500 0.500
Rh: 0.609 0.763 0.500
Rh: 0.674 0.106 0.000
Rh: 0.826 0.606 0.000
Rh: 0.891 0.263 0.500

**Energy relative to the elements**: -0.71 eV per atom

***

A plane-wave DFT calculation with PBE was carried out for ScNbRh2 after structural relaxation.

Unit cell a=3.029 b=3.029 c=7.170 alpha=90.00 beta=90.00 gamma=90.00
Element x y z (fractional)
Sc: 0.000 0.000 0.000
Nb: 0.000 0.000 0.500
Rh: 0.500 0.500 0.248
Rh: 0.500 0.500 0.752

**Energy relative to the elements**: -0.65 eV per atom

***

In the order shown, the computed density of states at the Fermi level values come out to 4.954, 5.170, 5.119, 4.660, 11.656, 4.383 states/eV per cell.
In the order shown, the computed VASP energy values come out to -4.916, -7.029, -6.158, -6.015, -8.148, -8.421 eV per atom.